Entry 1:
BeGaCuAg | PBE-GGA | optimized geometry

Properties
Space-group type: F-43m, No. 216
E_tot in eV for the cell shown: -12.8
ΔE to the lowest computed polymorph in meV per atom: 21.9

```
BeGaCuAg
1.0
4.084 -0.245 -1.151
2.495 -3.021 1.647
1.332 -3.218 -2.436
Ga Ag Cu Be
1 1 1 1
direct
0.000 0.000 0.000
0.500 0.500 0.500
0.750 0.750 0.750
0.250 0.250 0.250
```

***

Entry 2:
BeCuAgGe | PBE-GGA | optimized geometry

Properties
Space-group type: F-43m, No. 216
E_tot in eV for the cell shown: -13.7
ΔE to the lowest computed polymorph in meV per atom: 0.0

```
BeCuAgGe
1.0
0.000 3.057 3.057
3.057 0.000 3.057
3.057 3.057 0.000
Ge Be Ag Cu
1 1 1 1
direct
0.000 0.000 0.000
0.250 0.250 0.250
0.500 0.500 0.500
0.750 0.750 0.750
```